# 1
VASP calculation (PBE) on K3Ce3TmSe8 after structural relaxation.

Cell lengths 9.2072, 9.2072, 9.2072 Å; angles 55.40, 55.40, 55.40 degrees
Last column: nearest neighbours and their distance in Å.
Fractional coordinates of all 15 atoms:
K (0.0000, 0.5000, 0.5000)  6 Se 3.35-3.38
K (0.5000, 0.0000, 0.5000)  6 Se 3.35-3.38
K (0.5000, 0.5000, 0.0000)  6 Se 3.35-3.38
Ce (0.0000, 0.0000, 0.5000)  6 Se 2.94-2.96
Ce (0.0000, 0.5000, 0.0000)  6 Se 2.94-2.96
Ce (0.5000, 0.0000, 0.0000)  6 Se 2.94-2.96
Tm (0.5000, 0.5000, 0.5000)  6 Se 2.87
Se (0.2362, 0.2362, 0.2362)  3 Ce 2.96
Se (0.2407, 0.7294, 0.7294)  1 Tm 2.87, 2 Ce 2.94
Se (0.2706, 0.2706, 0.7593)  1 Tm 2.87, 2 Ce 2.94
Se (0.2706, 0.7593, 0.2706)  1 Tm 2.87, 2 Ce 2.94
Se (0.7294, 0.2407, 0.7294)  1 Tm 2.87, 2 Ce 2.94
Se (0.7294, 0.7294, 0.2407)  1 Tm 2.87, 2 Ce 2.94
Se (0.7593, 0.2706, 0.2706)  1 Tm 2.87, 2 Ce 2.94
Se (0.7638, 0.7638, 0.7638)  3 Ce 2.96

E_tot, eV per atom: -5.28
Calculated volume, Å³/cell: 493.0

---

# 2
VASP calculation (PBE) on K3CeTm3Se8 after structural relaxation.

Cell lengths 9.1466, 9.1466, 9.1466 Å; angles 53.96, 53.96, 53.96 degrees
Last column: nearest neighbours and their distance in Å.
Fractional coordinates of all 15 atoms:
K (0.0000, 0.5000, 0.5000)  6 Se 3.34-3.36
K (0.5000, 0.0000, 0.5000)  6 Se 3.34-3.36
K (0.5000, 0.5000, 0.0000)  6 Se 3.34-3.36
Ce (0.5000, 0.5000, 0.5000)  6 Se 2.88
Tm (0.0000, 0.0000, 0.5000)  6 Se 2.85-2.86
Tm (0.0000, 0.5000, 0.0000)  6 Se 2.85-2.86
Tm (0.5000, 0.0000, 0.0000)  6 Se 2.85-2.86
Se (0.2300, 0.7350, 0.7350)  2 Tm 2.85, 1 Ce 2.88
Se (0.2338, 0.2338, 0.2338)  3 Tm 2.86
Se (0.2650, 0.2650, 0.7700)  2 Tm 2.85, 1 Ce 2.88
Se (0.2650, 0.7700, 0.2650)  2 Tm 2.85, 1 Ce 2.88
Se (0.7350, 0.2300, 0.7350)  2 Tm 2.85, 1 Ce 2.88
Se (0.7350, 0.7350, 0.2300)  2 Tm 2.85, 1 Ce 2.88
Se (0.7662, 0.7662, 0.7662)  3 Tm 2.86
Se (0.7700, 0.2650, 0.2650)  2 Tm 2.85, 1 Ce 2.88

E_tot, eV per atom: -5.09
Calculated volume, Å³/cell: 464.8

---

# 3
VASP calculation (PBE) on K3CeTm2Se6 after structural relaxation.

Cell lengths 7.3470, 7.3470, 8.0600 Å; angles 98.75, 98.75, 120.00 degrees
Last column: nearest neighbours and their distance in Å.
Fractional coordinates of all 12 atoms:
K (0.0000, 0.0000, 0.0000)  6 Se 3.28-3.37
K (0.3351, 0.6649, 0.0000)  6 Se 3.29-3.37
K (0.6649, 0.3351, 0.0000)  6 Se 3.29-3.37
Ce (0.5000, 0.5000, 0.5000)  6 Se 2.98
Tm (0.1669, 0.8331, 0.5000)  6 Se 2.87-2.88
Tm (0.8331, 0.1669, 0.5000)  6 Se 2.87-2.88
Se (0.0866, 0.4316, 0.2952)  2 Tm 2.87-2.88, 1 Ce 2.98
Se (0.2232, 0.2232, 0.7046)  2 Tm 2.88, 1 Ce 2.98
Se (0.4316, 0.0866, 0.2952)  2 Tm 2.87-2.88, 1 Ce 2.98
Se (0.5684, 0.9134, 0.7048)  2 Tm 2.87-2.88, 1 Ce 2.98
Se (0.7768, 0.7768, 0.2954)  2 Tm 2.88, 1 Ce 2.98
Se (0.9134, 0.5684, 0.7048)  2 Tm 2.87-2.88, 1 Ce 2.98

E_tot, eV per atom: -4.98
Calculated volume, Å³/cell: 358.9

---

# 4
VASP calculation (PBE) on K2CeTm2Se6 after structural relaxation.

Cell lengths 7.1834, 7.1834, 8.2102 Å; angles 98.38, 98.38, 120.11 degrees
Last column: nearest neighbours and their distance in Å.
Fractional coordinates of all 11 atoms:
K (0.1666, 0.8334, 0.0000)  6 Se 3.35-3.37
K (0.8334, 0.1666, 0.0000)  6 Se 3.35-3.37
Ce (0.0000, 0.0000, 0.5000)  6 Se 2.87-2.88
Tm (0.3332, 0.6668, 0.5000)  6 Se 2.85
Tm (0.6668, 0.3332, 0.5000)  6 Se 2.85
Se (0.0659, 0.4020, 0.6994)  2 Tm 2.85, 1 Ce 2.88
Se (0.2691, 0.2691, 0.3011)  2 Tm 2.85, 1 Ce 2.87
Se (0.4020, 0.0659, 0.6994)  2 Tm 2.85, 1 Ce 2.88
Se (0.5980, 0.9341, 0.3006)  2 Tm 2.85, 1 Ce 2.88
Se (0.7309, 0.7309, 0.6989)  2 Tm 2.85, 1 Ce 2.87
Se (0.9341, 0.5980, 0.3006)  2 Tm 2.85, 1 Ce 2.88

E_tot, eV per atom: -5.17
Calculated volume, Å³/cell: 350.5

---

# 5
VASP calculation (PBE) on K2CeTmSe4 after structural relaxation.

Cell lengths 7.4085, 4.2743, 8.0587 Å; angles 90.00, 107.78, 90.00 degrees
Last column: nearest neighbours and their distance in Å.
Fractional coordinates of all 8 atoms:
K (0.0000, 0.0000, 0.0000)  6 Se 3.38-3.39
K (0.5000, 0.5000, 0.0000)  6 Se 3.30-3.31
Ce (0.0000, 0.5000, 0.5000)  6 Se 2.97-2.99
Tm (0.5000, 0.0000, 0.5000)  6 Se 2.87-2.89
Se (0.2467, 0.0000, 0.7081)  1 Tm 2.87, 2 Ce 2.97
Se (0.2754, 0.5000, 0.2961)  2 Tm 2.89, 1 Ce 2.99
Se (0.7246, 0.5000, 0.7039)  2 Tm 2.89, 1 Ce 2.99
Se (0.7533, 0.0000, 0.2919)  1 Tm 2.87, 2 Ce 2.97

E_tot, eV per atom: -5.03
Calculated volume, Å³/cell: 243.0

---

# 6
VASP calculation (PBE) on KCe2USe5 after structural relaxation.

Cell lengths 8.6323, 8.6323, 8.6323 Å; angles 144.35, 128.46, 64.24 degrees
Last column: nearest neighbours and their distance in Å.
Fractional coordinates of all 9 atoms:
K (0.0000, 0.0000, 0.0000)  10 Se 3.75-3.96
Ce (0.2974, 0.7974, 0.5000)  3 Se 2.90-2.96
Ce (0.7026, 0.2026, 0.5000)  3 Se 2.90-2.96
U (0.5000, 0.5000, 0.0000)  6 Se 2.64-2.84
Se (0.1102, 0.3494, 0.7609)  1 U 2.84, 1 Ce 2.90
Se (0.4115, 0.6506, 0.7609)  1 U 2.84, 1 Ce 2.90
Se (0.5000, 0.0000, 0.5000)  2 U 2.64
Se (0.5885, 0.3494, 0.2391)  1 U 2.84, 1 Ce 2.90
Se (0.8898, 0.6506, 0.2391)  1 U 2.84, 1 Ce 2.90

E_tot, eV per atom: -6.08
Calculated volume, Å³/cell: 290.0

---

# 7
VASP calculation (PBE) on KCeUSe4 after structural relaxation.

Cell lengths 8.8642, 8.8642, 8.8642 Å; angles 121.06, 119.05, 89.91 degrees
Last column: nearest neighbours and their distance in Å.
Fractional coordinates of all 14 atoms:
K (0.3788, 0.1288, 0.2500)  4 Se 3.11-3.13
K (0.6212, 0.8712, 0.7500)  4 Se 3.11-3.13
Ce (0.0000, 0.5000, 0.5000)  6 Se 2.96-2.98
Ce (0.5000, 0.5000, 0.0000)  6 Se 2.96-2.98
U (0.0000, 0.0000, 0.5000)  6 Se 2.86-2.88
U (0.0000, 0.5000, 0.0000)  6 Se 2.86-2.88
Se (0.1939, 0.7358, 0.4581)  2 U 2.88, 1 Ce 2.98, 1 K 3.13
Se (0.2223, 0.2642, 0.9581)  2 U 2.88, 1 Ce 2.98, 1 K 3.13
Se (0.2268, 0.2579, 0.5311)  1 U 2.86, 2 Ce 2.96, 1 K 3.11
Se (0.2268, 0.6957, 0.9689)  1 U 2.86, 2 Ce 2.96, 1 K 3.11
Se (0.7732, 0.3043, 0.0311)  1 U 2.86, 2 Ce 2.96, 1 K 3.11
Se (0.7732, 0.7421, 0.4689)  1 U 2.86, 2 Ce 2.96, 1 K 3.11
Se (0.7777, 0.7358, 0.0419)  2 U 2.88, 1 Ce 2.98, 1 K 3.13
Se (0.8061, 0.2642, 0.5419)  2 U 2.88, 1 Ce 2.98, 1 K 3.13

E_tot, eV per atom: -6.03
Calculated volume, Å³/cell: 491.9

---

# 8
VASP calculation (PBE) on K3CeU2Se6 after structural relaxation.

Cell lengths 7.3862, 7.3862, 8.1293 Å; angles 98.71, 98.71, 120.00 degrees
Last column: nearest neighbours and their distance in Å.
Fractional coordinates of all 12 atoms:
K (0.0000, 0.0000, 0.0000)  6 Se 3.30-3.36
K (0.3347, 0.6653, 0.0000)  6 Se 3.31-3.36
K (0.6653, 0.3347, 0.0000)  6 Se 3.31-3.36
Ce (0.5000, 0.5000, 0.5000)  6 Se 2.99
U (0.1668, 0.8332, 0.5000)  6 Se 2.92-2.93
U (0.8332, 0.1668, 0.5000)  6 Se 2.92-2.93
Se (0.0897, 0.4302, 0.2909)  2 U 2.92-2.93, 1 Ce 2.99
Se (0.2291, 0.2291, 0.7089)  2 U 2.93, 1 Ce 2.99
Se (0.4302, 0.0897, 0.2909)  2 U 2.92-2.93, 1 Ce 2.99
Se (0.5698, 0.9103, 0.7091)  2 U 2.92-2.93, 1 Ce 2.99
Se (0.7709, 0.7709, 0.2911)  2 U 2.93, 1 Ce 2.99
Se (0.9103, 0.5698, 0.7091)  2 U 2.92-2.93, 1 Ce 2.99

E_tot, eV per atom: -5.78
Calculated volume, Å³/cell: 366.0

---

- Number 4 is which compound?
  K2CeTm2Se6